No. 1
Dy7Sb2Te2 | GGA-PBE | relaxed

raw formation energy	-505	meV/atom
M_tot	0.0	μB per formula unit

Cell: 7.0779 6.9595 7.0779 Å, 90.00 98.97 90.00°
With the nearest neighbours (Å) after each atom.
Fractional positions:
1 Dy 0.9998 0.2678 0.5003  2 Te 2.97-2.98, 2 Sb 3.17, 1 Dy 3.23
2 Dy 0.5003 0.7322 0.9998  2 Te 2.97-2.98, 2 Sb 3.17, 1 Dy 3.23
3 Dy 0.0002 0.7322 0.4997  2 Te 2.97-2.98, 2 Sb 3.17, 1 Dy 3.23
4 Dy 0.4997 0.2678 0.0002  2 Te 2.97-2.98, 2 Sb 3.17, 1 Dy 3.23
5 Dy 0.0000 0.0000 0.0000  2 Te 3.00
6 Dy 0.5002 0.7376 0.4998  2 Te 3.00-3.01, 2 Sb 3.20, 1 Dy 3.31
7 Dy 0.4998 0.2624 0.5002  2 Te 3.00-3.01, 2 Sb 3.20, 1 Dy 3.31
8 Sb 0.7983 0.5000 0.7983  6 Dy 3.17-3.20
9 Sb 0.2017 0.5000 0.2017  6 Dy 3.17-3.20
10 Te 0.7216 0.0000 0.2784  7 Dy 2.97-3.01
11 Te 0.2784 0.0000 0.7216  7 Dy 2.97-3.01

No. 2
CrSiNi2 | GGA-PBE | relaxed

raw formation energy	-189	meV/atom
M_tot	0.0	μB per formula unit

Cell: 2.5640 3.3428 5.2148 Å, 90.00 90.00 90.00°
With the nearest neighbours (Å) after each atom.
Fractional positions:
1 Cr 0.5000 0.5000 0.7577  6 Ni 2.45-2.63, 4 Si 2.54, 2 Cr 2.56
2 Ni 0.0000 0.0000 0.9974  4 Cr 2.45, 6 Ni 2.52-2.56, 2 Si 2.54-2.68
3 Ni 0.5000 0.5000 0.2611  4 Si 2.41, 6 Ni 2.52-2.56, 2 Cr 2.59-2.63
4 Si 0.0000 0.0000 0.4838  6 Ni 2.41-2.68, 4 Cr 2.54, 2 Si 2.56

No. 3
PmThSe2 | GGA-PBE | relaxed

offset from the most stable computed form	0.186	eV/atom
raw formation energy	-1492	meV/atom
M_tot	0.0	μB per formula unit

Cell: 5.1420 5.1420 5.1420 Å, 60.00 60.00 60.00°
With the nearest neighbours (Å) after each atom.
Fractional positions:
1 Se 0.2500 0.2500 0.2500  4 Th 3.15, 4 Pm 3.15
2 Se 0.7500 0.7500 0.7500  4 Pm 3.15, 4 Th 3.15
3 Th 0.0000 0.0000 0.0000  8 Se 3.15
4 Pm 0.5000 0.5000 0.5000  8 Se 3.15

No. 4
SrLi2TlH | GGA-PBE | relaxed

M_tot	0.0	μB per formula unit
electronic total energy	-2.4581	eV per atom

Cell: 4.7134 4.7134 4.9228 Å, 90.00 90.00 90.00°
With the nearest neighbours (Å) after each atom.
Fractional positions:
1 Sr 0.0000 0.0000 0.5000  2 H 2.46
2 Tl 0.5000 0.5000 0.5000  4 Sr 3.33, 8 Li 3.41
3 H 0.0000 0.0000 0.0000  4 Li 2.36, 2 Sr 2.46
4 Li 0.0000 0.5000 0.0000  2 H 2.36
5 Li 0.5000 0.0000 0.0000  2 H 2.36